InTeMoO5 after structural relaxation. Source: Alexandria via LeMat-Bulk, functional PBE with a Hubbard U.

Geometry as POSCAR:
```
InTeMoO5
1.0
4.028 -4.478 0.000
4.028 4.478 0.000
-2.573 0.000 6.053
In Te Mo O
2 2 2 10
direct
0.000 0.500 0.000 In
0.500 0.000 0.500 In
0.078 0.922 0.750 Te
0.922 0.078 0.250 Te
0.458 0.542 0.750 Mo
0.542 0.458 0.250 Mo
0.106 0.595 0.741 O
0.300 0.316 0.921 O
0.313 0.687 0.250 O
0.316 0.300 0.421 O
0.405 0.894 0.759 O
0.595 0.106 0.241 O
0.684 0.700 0.579 O
0.687 0.313 0.750 O
0.700 0.684 0.079 O
0.894 0.405 0.259 O
```

Properties
As for the space-group type: C2/c. The raw total energy comes out at -5.894 eV per atom. The calculation puts the total moment at 3.810 μB/cell.